Sr2FeP: optimized geometry, PBE.

a b c (Å): 3.668 3.909 8.449
angles (deg): 62.45 90.00 90.00
Atoms (fractional coordinates):
Fe  0.500  0.250  0.250
P  0.500  0.750  0.750
Sr  0.000  0.028  0.972
Sr  0.000  0.472  0.528

Results
space-group type	Pmmm, No. 47

SrFeP2: optimized geometry, PBE.

a b c (Å): 5.606 5.606 5.606
angles (deg): 137.96 137.96 60.96
Atoms (fractional coordinates):
Fe  0.750  0.250  0.500
P  0.000  0.000  0.000
P  0.250  0.750  0.500
Sr  0.500  0.500  0.000

Results
energy relative to the lowest polymorph listed for this composition	0.852	eV per atom
space-group type	I-4m2, No. 119

SrTaFeP2: optimized geometry, PBE.

a b c (Å): 3.873 3.873 6.972
angles (deg): 106.12 106.12 90.00
Atoms (fractional coordinates):
Sr  0.000  0.000  0.000
Ta  0.250  0.750  0.500
Fe  0.750  0.250  0.500
P  0.634  0.634  0.268
P  0.366  0.366  0.732

Results
space-group type	I-4m2, No. 119

SrFeTcP2: optimized geometry, PBE.

a b c (Å): 3.957 3.957 6.382
angles (deg): 108.06 108.06 90.00
Atoms (fractional coordinates):
Sr  0.000  0.000  0.000
Fe  0.750  0.250  0.500
Tc  0.250  0.750  0.500
P  0.648  0.648  0.296
P  0.352  0.352  0.704

Results
space-group type	I-4m2, No. 119

SrFeP2W: optimized geometry, PBE.

a b c (Å): 3.869 3.869 6.832
angles (deg): 106.45 106.45 90.00
Atoms (fractional coordinates):
Sr  0.000  0.000  0.000
Fe  0.750  0.250  0.500
P  0.639  0.639  0.277
P  0.361  0.361  0.723
W  0.250  0.750  0.500

Results
space-group type	I-4m2, No. 119

TaFe2P: optimized geometry, PBE.

a b c (Å): 4.395 4.395 4.562
angles (deg): 64.29 64.29 42.95
Atoms (fractional coordinates):
Fe  0.006  0.006  0.966
Fe  0.791  0.791  0.652
P  0.489  0.489  0.645
Ta  0.214  0.214  0.237

Results
space-group type	Cm, No. 8

TaFe2P: optimized geometry, PBE.

a b c (Å): 4.353 4.353 4.353
angles (deg): 128.63 128.63 75.61
Atoms (fractional coordinates):
Fe  0.000  0.000  0.000
Fe  0.500  0.500  0.000
P  0.250  0.750  0.500
Ta  0.750  0.250  0.500

Results
space-group type	I4/mmm, No. 139

Ta2FeP: optimized geometry, PBE.

a b c (Å): 4.372 4.372 4.372
angles (deg): 60.00 60.00 60.00
Atoms (fractional coordinates):
Fe  0.500  0.500  0.500
P  0.250  0.250  0.250
Ta  0.000  0.000  0.000
Ta  0.750  0.750  0.750

Results
space-group type	F-43m, No. 216

Ta2FeP: optimized geometry, PBE.

a b c (Å): 4.937 4.867 6.771
angles (deg): 64.31 68.62 59.53
Atoms (fractional coordinates):
Ta  0.202  0.205  0.400
Ta  0.798  0.795  0.600
Ta  0.193  0.705  0.900
Ta  0.807  0.295  0.100
Fe  0.759  0.250  0.750
Fe  0.241  0.750  0.250
P  0.715  0.750  0.250
P  0.285  0.250  0.750

Results
space-group type	C2/c, No. 15

Ta9Fe2P6: optimized geometry, PBE.

a b c (Å): 10.339 10.339 3.357
angles (deg): 90.00 90.00 120.00
Atoms (fractional coordinates):
P  0.000  0.728  0.500
P  0.272  0.272  0.500
P  0.728  0.000  0.500
P  0.000  0.291  0.000
P  0.709  0.709  0.000
P  0.291  0.000  0.000
Fe  0.667  0.333  0.000
Fe  0.333  0.667  0.000
Ta  0.000  0.545  0.000
Ta  0.455  0.455  0.000
Ta  0.545  0.000  0.000
Ta  0.736  0.542  0.500
Ta  0.458  0.193  0.500
Ta  0.807  0.264  0.500
Ta  0.193  0.458  0.500
Ta  0.264  0.807  0.500
Ta  0.542  0.736  0.500

Results
space-group type	P-62m, No. 189

TaFe2P: optimized geometry, PBE.

a b c (Å): 4.190 4.190 4.190
angles (deg): 60.00 60.00 60.00
Atoms (fractional coordinates):
Fe  0.000  0.000  0.000
Fe  0.750  0.750  0.750
P  0.500  0.500  0.500
Ta  0.250  0.250  0.250

Results
space-group type	F-43m, No. 216

Ta2FeP: optimized geometry, PBE.

a b c (Å): 3.612 3.325 5.122
angles (deg): 71.05 90.00 90.00
Atoms (fractional coordinates):
Fe  0.000  0.695  0.485
P  0.500  0.554  0.768
Ta  0.000  0.969  0.937
Ta  0.500  0.282  0.310

Results
space-group type	Amm2, No. 38

TaFe2P: optimized geometry, PBE.

a b c (Å): 2.756 2.756 6.417
angles (deg): 90.00 90.00 89.96
Atoms (fractional coordinates):
Fe  0.000  0.000  0.052
Fe  0.000  0.000  0.448
P  0.500  0.500  0.250
Ta  0.500  0.500  0.750

Results
space-group type	P4/mmm, No. 123

Ta2FeP: optimized geometry, PBE.

a b c (Å): 4.419 4.419 3.102
angles (deg): 90.00 90.00 102.98
Atoms (fractional coordinates):
Fe  0.500  0.000  0.500
P  0.000  0.500  0.500
Ta  0.000  0.000  0.000
Ta  0.500  0.500  0.000

Results
space-group type	Cmmm, No. 65

Ta2FeP: optimized geometry, PBE.

a b c (Å): 5.233 5.233 4.159
angles (deg): 66.57 66.57 34.25
Atoms (fractional coordinates):
Fe  0.524  0.524  0.476
P  0.218  0.218  0.282
Ta  0.993  0.993  0.007
Ta  0.765  0.765  0.735

Results
space-group type	Imm2, No. 44

Ta2FeP: optimized geometry, PBE.

a b c (Å): 3.229 3.229 5.734
angles (deg): 90.00 90.00 90.00
Atoms (fractional coordinates):
Fe  0.500  0.500  0.250
P  0.500  0.500  0.750
Ta  0.000  0.000  0.993
Ta  0.000  0.000  0.507

Results
space-group type	P4/mmm, No. 123

Ta2Fe2P: optimized geometry, PBE.

a b c (Å): 5.620 5.620 4.377
angles (deg): 90.00 90.00 90.00
Atoms (fractional coordinates):
Ta  0.679  0.179  0.500
Ta  0.321  0.821  0.500
Ta  0.179  0.321  0.500
Ta  0.821  0.679  0.500
Fe  0.146  0.646  0.000
Fe  0.854  0.354  0.000
Fe  0.646  0.854  0.000
Fe  0.354  0.146  0.000
P  0.000  0.000  0.000
P  0.500  0.500  0.000

Results
space-group type	P4/mbm, No. 127

Ta2FeP: optimized geometry, PBE.

a b c (Å): 3.231 3.231 5.777
angles (deg): 90.00 90.00 90.00
Atoms (fractional coordinates):
Fe  0.000  0.000  0.498
P  0.500  0.500  0.752
Ta  0.000  0.000  0.959
Ta  0.500  0.500  0.291

Results
space-group type	P4mm, No. 99

TaFe4P: optimized geometry, PBE.

a b c (Å): 4.722 4.722 4.722
angles (deg): 60.00 60.00 60.00
Atoms (fractional coordinates):
Ta  0.000  0.000  0.000
Fe  0.625  0.625  0.125
Fe  0.625  0.125  0.625
Fe  0.625  0.625  0.625
Fe  0.125  0.625  0.625
P  0.250  0.250  0.250

Results
space-group type	F-43m, No. 216

Ta2FeP: optimized geometry, PBE.

a b c (Å): 6.584 6.584 6.584
angles (deg): 30.15 30.15 30.15
Atoms (fractional coordinates):
Fe  0.250  0.250  0.250
P  0.750  0.750  0.750
Ta  0.996  0.996  0.996
Ta  0.504  0.504  0.504

Results
space-group type	R-3m, No. 166

TaFe2P: optimized geometry, PBE.

a b c (Å): 4.671 4.671 4.671
angles (deg): 135.29 135.29 65.07
Atoms (fractional coordinates):
Fe  0.000  0.000  0.000
Fe  0.250  0.750  0.500
P  0.500  0.500  0.000
Ta  0.750  0.250  0.500

Results
space-group type	I-4m2, No. 119

Ta2FeP: optimized geometry, PBE.

a b c (Å): 3.844 3.844 9.224
angles (deg): 77.97 77.97 90.00
Atoms (fractional coordinates):
P  0.500  0.500  0.000
P  0.250  0.750  0.500
Fe  0.000  0.000  0.000
Fe  0.750  0.250  0.500
Ta  0.617  0.125  0.250
Ta  0.133  0.625  0.250
Ta  0.375  0.383  0.750
Ta  0.875  0.867  0.750

Results
space-group type	I-42d, No. 122

Ta2FeP: optimized geometry, PBE.

a b c (Å): 2.916 2.916 7.140
angles (deg): 90.00 90.00 102.71
Atoms (fractional coordinates):
Fe  0.500  0.500  0.250
P  0.500  0.500  0.750
Ta  0.000  0.000  0.006
Ta  0.000  0.000  0.494

Results
space-group type	Cmmm, No. 65

Ta2FeP: optimized geometry, PBE.

a b c (Å): 3.325 3.060 6.266
angles (deg): 71.23 90.00 90.00
Atoms (fractional coordinates):
Fe  0.500  0.250  0.250
P  0.500  0.750  0.750
Ta  0.000  0.947  0.998
Ta  0.000  0.553  0.502

Results
space-group type	P2/m, No. 10

TaFe2P: optimized geometry, PBE.

a b c (Å): 3.624 3.612 4.019
angles (deg): 90.00 90.00 90.00
Atoms (fractional coordinates):
Fe  0.000  0.000  0.000
Fe  0.500  0.500  0.000
P  0.500  0.000  0.500
Ta  0.000  0.500  0.500

Results
space-group type	Pmmm, No. 47

TaFe2P: optimized geometry, PBE.

a b c (Å): 3.022 3.022 5.749
angles (deg): 90.00 90.00 90.00
Atoms (fractional coordinates):
Fe  0.000  0.000  0.038
Fe  0.500  0.500  0.259
P  0.000  0.000  0.459
Ta  0.500  0.500  0.745

Results
space-group type	P4mm, No. 99

TaFe3P: optimized geometry, PBE.

a b c (Å): 4.047 4.047 4.047
angles (deg): 90.00 90.00 90.00
Atoms (fractional coordinates):
P  0.000  0.000  0.000
Fe  0.000  0.500  0.000
Fe  0.000  0.000  0.500
Fe  0.500  0.000  0.000
Ta  0.500  0.500  0.500

Results
energy relative to the lowest polymorph listed for this composition	0.000	eV per atom
space-group type	Pm-3m, No. 221

Ta2FeP: optimized geometry, PBE.

a b c (Å): 2.838 2.838 7.305
angles (deg): 90.00 90.00 98.98
Atoms (fractional coordinates):
Fe  0.000  0.000  0.552
P  0.500  0.500  0.709
Ta  0.000  0.000  0.958
Ta  0.500  0.500  0.281

Results
space-group type	Cmm2, No. 35

TaFe2P: optimized geometry, PBE.

a b c (Å): 3.110 3.110 5.290
angles (deg): 90.00 90.00 90.00
Atoms (fractional coordinates):
Fe  0.000  0.000  0.017
Fe  0.000  0.000  0.483
P  0.500  0.500  0.250
Ta  0.500  0.500  0.750

Results
space-group type	P4/mmm, No. 123

Number 1: DFT formation energy 0.0022 eV per atom, calculated volume 26.9 A^3/atom. Number 2: DFT formation energy 0.2543 eV per atom, calculated volume 19.5 A^3/atom. Number 3: DFT formation energy -0.7362 eV per atom, calculated volume 19.2 A^3/atom. Number 4: DFT formation energy -0.7616 eV per atom, calculated volume 18.0 A^3/atom. Number 5: DFT formation energy -0.5824 eV per atom, calculated volume 18.7 A^3/atom. Number 6: DFT formation energy -0.2886 eV per atom, calculated volume 13.3 A^3/atom. Number 7: DFT formation energy -0.1819 eV per atom, calculated volume 12.2 A^3/atom. Number 8: DFT formation energy 0.2509 eV per atom, calculated volume 14.8 A^3/atom. Number 9: DFT formation energy -0.2236 eV per atom, calculated volume 15.5 A^3/atom. Number 10: DFT formation energy -0.3976 eV per atom, calculated volume 18.3 A^3/atom. Number 11: DFT formation energy -0.0773 eV per atom, calculated volume 13.0 A^3/atom. Number 12: DFT formation energy -0.5010 eV per atom, calculated volume 14.5 A^3/atom. Number 13: DFT formation energy -0.2711 eV per atom, calculated volume 12.2 A^3/atom. Number 14: DFT formation energy -0.2355 eV per atom, calculated volume 14.8 A^3/atom. Number 15: DFT formation energy -0.2416 eV per atom, calculated volume 14.6 A^3/atom. Number 16: DFT formation energy -0.2180 eV per atom, calculated volume 14.9 A^3/atom. Number 17: DFT formation energy -0.2488 eV per atom, calculated volume 13.8 A^3/atom. Number 18: DFT formation energy -0.2336 eV per atom, calculated volume 15.1 A^3/atom. Number 19: DFT formation energy 0.0435 eV per atom, calculated volume 12.4 A^3/atom. Number 20: DFT formation energy -0.0729 eV per atom, calculated volume 15.9 A^3/atom. Number 21: DFT formation energy -0.1643 eV per atom, calculated volume 12.4 A^3/atom. Number 22: DFT formation energy 0.4367 eV per atom, calculated volume 16.3 A^3/atom. Number 23: DFT formation energy -0.1486 eV per atom, calculated volume 14.8 A^3/atom. Number 24: DFT formation energy -0.2229 eV per atom, calculated volume 15.1 A^3/atom. Number 25: DFT formation energy -0.1897 eV per atom, calculated volume 13.2 A^3/atom. Number 26: DFT formation energy -0.1439 eV per atom, calculated volume 13.1 A^3/atom. Number 27: DFT formation energy 0.2530 eV per atom, calculated volume 13.3 A^3/atom. Number 28: DFT formation energy -0.2343 eV per atom, calculated volume 14.5 A^3/atom. Number 29: DFT formation energy -0.1869 eV per atom, calculated volume 12.8 A^3/atom.